1.
Computed, not measured: an optimized crystal structure of TbHo2As at the PBE level of DFT.

Energy relative to the elements ... -0.375 eV per atom
DOS at the Fermi energy ... 10.74 states/eV per cell

Cell lengths 3.7688, 3.7688, 30.8665 Å; angles 90.00, 90.00, 120.00 degrees
Closest atoms and distances in Å follow each position.
Space group R-3m (No. 166, hexagonal axes)
One atom of each set of equivalent atoms:
Tb1 0.0000 0.0000 0.0000 x3  2 Ho 3.43, 6 Tb 3.77
Ho1 0.0000 0.0000 0.1110 x6  3 As 2.77
As1 0.0000 0.0000 0.5000 x3  6 Ho 2.77


2.
Computed, not measured: an optimized crystal structure of YIrSe2 at the PBE level of DFT.

Energy relative to the elements, uncorrected ... -475 meV/atom
DOS at the Fermi energy ... 8.76 states/eV per cell

Cell lengths 5.7321, 7.0626, 8.5407 Å; angles 90.00, 90.00, 90.00 degrees
Closest atoms and distances in Å follow each position.
Space group Fmmm (No. 69)
One atom of each set of equivalent atoms:
Y1 0.0000 0.0000 0.0000 x4  4 Se 2.77, 2 Ir 2.87
Ir1 0.0000 0.0000 0.5000 x4  4 Se 2.77, 2 Y 2.87
Se1 0.0000 0.2500 0.2500 x8  2 Ir 2.77, 2 Y 2.77, 2 Se 2.87